Density functional theory data (PBE) for a geometry-optimized Ni6Mo structure.

For the formation energy, the calculation gives 0.0475 eV per atom. The calculation puts the raw total energy at -6.46 eV per atom. The total magnetic moment comes out at 0.00 Bohr magnetons per cell. Its calculated volume is 11.58 A^3/atom.

The space group is R-3m (No. 166, hexagonal axes) and the conventional cell measures 4.0379, 4.0379 and 17.2189 Å, with angles of 90.00, 90.00 and 120.00 degrees. Symmetry generates all atoms from Ni at (0.0000, 0.0000, 0.0699), Ni at (0.0000, 0.0000, 0.2150), Ni at (0.0000, 0.0000, 0.3573) and Mo at (0.0000, 0.0000, 0.5000).